Entry 1:
Y8Ho3 (GGA-PBE, optimized geometry); calculated volume = 363.5 Å³ per cell; E_tot = -5.40 eV per atom; formation enthalpy at 0 K = 52.85 kJ per mole of atoms
1.0
-4.830 4.861 -2.088
-5.393 -4.677 -0.599
-2.598 1.179 6.571
Y Ho
8 3
Direct
0.695 0.849 0.118 Y
0.849 0.118 0.695 Y
0.618 0.618 0.618 Y
0.382 0.382 0.382 Y
0.882 0.305 0.151 Y
0.305 0.151 0.882 Y
0.118 0.695 0.849 Y
0.151 0.882 0.305 Y
0.000 0.500 0.500 Ho
0.500 0.500 0.000 Ho
0.500 0.000 0.500 Ho

Entry 2:
Y8Ho3 (GGA-PBE, optimized geometry); calculated volume = 378.0 Å³ per cell; E_tot = -5.54 eV per atom; formation enthalpy at 0 K = 39.29 kJ per mole of atoms
1.0
-1.914 -5.742 -4.763
7.529 -0.672 1.474
-3.738 -1.192 6.628
Ho Y
3 8
Direct
0.000 0.500 0.500 Ho
0.500 0.500 0.000 Ho
0.500 0.000 0.500 Ho
0.749 0.749 0.749 Y
0.182 0.033 0.691 Y
0.967 0.309 0.818 Y
0.309 0.818 0.967 Y
0.033 0.691 0.182 Y
0.251 0.251 0.251 Y
0.818 0.967 0.309 Y
0.691 0.182 0.033 Y

Entry 3:
YHo4 (GGA-PBE, optimized geometry); calculated volume = 155.8 Å³ per cell; E_tot = -4.93 eV per atom; formation enthalpy at 0 K = 2.20 kJ per mole of atoms
1.0
3.492 0.003 0.556
1.698 3.051 0.556
-0.554 -0.326 14.516
Ho Y
4 1
Direct
0.400 0.400 0.798 Ho
0.600 0.600 0.202 Ho
0.200 0.200 0.401 Ho
0.800 0.800 0.599 Ho
0.000 0.000 0.000 Y

Entry 4:
Y13Ho2 (GGA-PBE, optimized geometry); calculated volume = 496.4 Å³ per cell; E_tot = -6.05 eV per atom; formation enthalpy at 0 K = 15.55 kJ per mole of atoms
1.0
-5.502 1.665 4.082
-6.120 -3.417 -0.766
-0.480 -8.403 8.870
Y Ho
13 2
Direct
0.792 0.792 0.125 Y
0.208 0.208 0.875 Y
0.047 0.047 0.364 Y
0.708 0.208 0.875 Y
0.208 0.708 0.875 Y
0.792 0.292 0.125 Y
0.500 0.500 0.500 Y
0.458 0.953 0.636 Y
0.292 0.792 0.125 Y
0.542 0.047 0.364 Y
0.953 0.953 0.636 Y
0.047 0.542 0.364 Y
0.953 0.458 0.636 Y
0.294 0.294 0.119 Ho
0.706 0.706 0.881 Ho

Entry 5:
Y3Ho13 (GGA-PBE, optimized geometry); calculated volume = 507.0 Å³ per cell; E_tot = -4.93 eV per atom; formation enthalpy at 0 K = 0.32 kJ per mole of atoms
1.0
-4.518 1.930 5.312
-6.525 -0.986 -5.191
0.062 -7.874 2.913
Y Ho
3 13
Direct
0.251 0.041 0.959 Y
0.749 0.041 0.959 Y
0.000 0.292 0.708 Y
0.000 0.209 0.292 Ho
0.250 0.542 0.458 Ho
0.750 0.459 0.042 Ho
0.500 0.209 0.294 Ho
0.250 0.459 0.042 Ho
0.500 0.292 0.708 Ho
0.750 0.542 0.458 Ho
0.250 0.958 0.541 Ho
0.750 0.958 0.541 Ho
0.000 0.791 0.209 Ho
0.500 0.791 0.209 Ho
0.500 0.706 0.791 Ho
0.000 0.708 0.791 Ho

Entry 6:
Y7Ho5 (GGA-PBE, optimized geometry); calculated volume = 380.5 Å³ per cell; E_tot = -5.67 eV per atom; formation enthalpy at 0 K = 0.70 kJ per mole of atoms
1.0
3.522 0.000 0.555
1.410 8.995 2.499
-0.096 0.206 12.050
Ho Y
5 7
Direct
0.167 0.166 0.499 Ho
0.306 0.639 0.749 Ho
0.833 0.834 0.501 Ho
0.000 0.000 0.000 Ho
0.694 0.361 0.251 Ho
0.500 0.500 0.500 Y
0.667 0.667 0.999 Y
0.639 0.972 0.749 Y
0.972 0.306 0.750 Y
0.028 0.694 0.250 Y
0.333 0.333 0.001 Y
0.361 0.028 0.251 Y

Entry 7:
Y7Ho6 (GGA-PBE, optimized geometry); calculated volume = 433.7 Å³ per cell; E_tot = -5.31 eV per atom; formation enthalpy at 0 K = 27.39 kJ per mole of atoms
1.0
6.428 0.000 1.291
3.084 5.640 1.291
0.892 0.529 12.205
Y Ho
7 6
Direct
0.410 0.917 0.263 Y
0.083 0.590 0.737 Y
0.590 0.590 0.737 Y
0.590 0.083 0.737 Y
0.917 0.410 0.263 Y
0.410 0.410 0.263 Y
0.500 0.500 0.500 Y
0.333 0.333 0.000 Ho
0.667 0.667 0.000 Ho
0.852 0.852 0.443 Ho
0.954 0.954 0.139 Ho
0.046 0.046 0.861 Ho
0.148 0.148 0.557 Ho

Entry 8:
Y2Ho13 (GGA-PBE, optimized geometry); calculated volume = 467.4 Å³ per cell; E_tot = -4.76 eV per atom; formation enthalpy at 0 K = 6.89 kJ per mole of atoms
1.0
6.523 -0.202 0.679
-1.087 8.833 0.320
0.383 -3.906 7.992
Ho Y
13 2
Direct
0.487 0.831 0.836 Ho
0.000 0.000 0.000 Ho
0.315 0.049 0.644 Ho
0.398 0.600 0.401 Ho
0.803 0.203 0.803 Ho
0.513 0.169 0.164 Ho
0.197 0.797 0.197 Ho
0.685 0.951 0.356 Ho
0.290 0.375 0.981 Ho
0.602 0.400 0.599 Ho
0.710 0.625 0.019 Ho
0.105 0.551 0.750 Ho
0.895 0.449 0.250 Ho
0.093 0.214 0.419 Y
0.907 0.786 0.581 Y

Entry 9:
YHo4 (GGA-PBE, optimized geometry); calculated volume = 316.0 Å³ per cell; E_tot = -4.85 eV per atom; formation enthalpy at 0 K = 9.89 kJ per mole of atoms
1.0
5.976 0.000 0.000
0.000 5.864 2.029
0.000 0.848 9.312
Ho Y
8 2
Direct
0.428 0.397 0.700 Ho
0.451 0.792 0.903 Ho
0.951 0.208 0.597 Ho
0.549 0.208 0.097 Ho
0.928 0.603 0.800 Ho
0.049 0.792 0.403 Ho
0.072 0.397 0.200 Ho
0.572 0.603 0.300 Ho
0.500 0.000 0.500 Y
0.000 0.000 0.000 Y

Entry 10:
Y5Ho6 (GGA-PBE, optimized geometry); calculated volume = 355.1 Å³ per cell; E_tot = -5.29 eV per atom; formation enthalpy at 0 K = 13.89 kJ per mole of atoms
1.0
-1.885 -5.767 -6.659
4.376 -0.882 -6.568
2.878 -5.458 1.354
Y Ho
5 6
Direct
0.500 0.000 0.500 Y
0.370 0.259 0.000 Y
0.240 0.520 0.500 Y
0.630 0.741 0.000 Y
0.760 0.480 0.500 Y
0.837 0.000 0.688 Ho
0.163 0.000 0.312 Ho
0.691 0.261 0.171 Ho
0.952 0.739 0.171 Ho
0.309 0.739 0.829 Ho
0.048 0.261 0.829 Ho

Entry 11:
Y13Ho3 (GGA-PBE, optimized geometry); calculated volume = 519.1 Å³ per cell; E_tot = -6.11 eV per atom; formation enthalpy at 0 K = 0.06 kJ per mole of atoms
1.0
7.292 0.000 0.000
0.000 8.412 -0.925
0.000 0.002 8.463
Y Ho
13 3
Direct
0.250 0.541 0.459 Y
0.751 0.458 0.041 Y
0.750 0.541 0.459 Y
0.751 0.959 0.542 Y
0.500 0.792 0.208 Y
0.249 0.458 0.041 Y
0.500 0.208 0.290 Y
0.000 0.792 0.208 Y
0.000 0.208 0.292 Y
0.500 0.291 0.709 Y
0.500 0.710 0.792 Y
0.249 0.959 0.542 Y
0.000 0.708 0.792 Y
0.249 0.042 0.958 Ho
0.000 0.291 0.709 Ho
0.751 0.042 0.958 Ho

Entry 12:
YHo2 (GGA-PBE, optimized geometry); calculated volume = 94.4 Å³ per cell; E_tot = -5.21 eV per atom; formation enthalpy at 0 K = 0.10 kJ per mole of atoms
1.0
-0.395 1.330 3.295
-1.037 -2.133 2.681
8.233 -0.204 3.022
Ho Y
2 1
Direct
0.970 0.756 0.328 Ho
0.085 0.199 0.657 Ho
0.528 0.978 0.992 Y

Entry 13:
YHo (GGA-PBE, optimized geometry); calculated volume = 128.2 Å³ per cell; E_tot = -5.52 eV per atom; formation enthalpy at 0 K = 0.15 kJ per mole of atoms
1.0
-2.222 1.112 2.647
-4.402 -2.024 -2.846
0.676 -5.540 2.894
Y Ho
2 2
Direct
0.000 0.750 0.332 Y
0.000 0.250 0.668 Y
0.500 0.250 0.166 Ho
0.500 0.750 0.834 Ho

Entry 14:
Y2Ho7 (GGA-PBE, optimized geometry); calculated volume = 284.2 Å³ per cell; E_tot = -4.95 eV per atom; formation enthalpy at 0 K = 4.09 kJ per mole of atoms
1.0
3.537 0.000 0.000
0.000 9.633 0.000
0.000 -4.816 8.342
Ho Y
7 2
Direct
0.500 0.000 0.000 Ho
0.500 0.640 0.000 Ho
0.000 0.304 0.000 Ho
0.500 0.000 0.640 Ho
0.000 0.696 0.696 Ho
0.500 0.360 0.360 Ho
0.000 0.000 0.304 Ho
0.000 0.667 0.333 Y
0.000 0.333 0.667 Y

Entry 15:
YHo2 (GGA-PBE, optimized geometry); calculated volume = 94.1 Å³ per cell; E_tot = -5.18 eV per atom; formation enthalpy at 0 K = 2.29 kJ per mole of atoms
1.0
-0.306 -2.730 -2.227
3.493 0.058 -0.551
-0.611 -3.448 7.117
Y Ho
1 2
Direct
0.000 0.000 0.000 Y
0.668 0.668 0.336 Ho
0.332 0.332 0.664 Ho

Entry 16:
Y5Ho6 (GGA-PBE, optimized geometry); calculated volume = 353.5 Å³ per cell; E_tot = -5.32 eV per atom; formation enthalpy at 0 K = 11.37 kJ per mole of atoms
1.0
5.229 -0.912 -1.471
-2.385 8.343 -3.338
-0.485 -1.029 9.227
Ho Y
6 5
Direct
0.795 0.658 0.932 Ho
0.205 0.068 0.342 Ho
0.705 0.205 0.205 Ho
0.205 0.342 0.068 Ho
0.295 0.795 0.795 Ho
0.795 0.932 0.658 Ho
0.500 0.500 0.500 Y
0.500 0.798 0.202 Y
0.500 0.202 0.798 Y
0.000 0.661 0.339 Y
0.000 0.339 0.661 Y

Entry 17:
YHo4 (GGA-PBE, optimized geometry); calculated volume = 175.9 Å³ per cell; E_tot = -4.19 eV per atom; formation enthalpy at 0 K = 73.38 kJ per mole of atoms
1.0
-4.530 1.898 2.698
-2.286 -5.110 -0.244
2.377 -1.298 4.905
Ho Y
4 1
Direct
0.000 0.000 0.000 Ho
0.000 0.500 0.500 Ho
0.500 0.000 0.500 Ho
0.500 0.500 0.000 Ho
0.500 0.500 0.500 Y

Entry 18:
Y2Ho7 (GGA-PBE, optimized geometry); calculated volume = 281.1 Å³ per cell; E_tot = -4.97 eV per atom; formation enthalpy at 0 K = 2.54 kJ per mole of atoms
1.0
6.122 0.000 0.000
-3.061 5.301 0.000
0.000 0.000 8.662
Ho Y
7 2
Direct
0.667 0.667 0.666 Ho
0.000 0.000 0.000 Ho
0.667 0.000 0.334 Ho
0.000 0.333 0.666 Ho
0.333 0.000 0.666 Ho
0.000 0.667 0.334 Ho
0.333 0.333 0.334 Ho
0.667 0.333 0.000 Y
0.333 0.667 0.000 Y

Entry 19:
Y5HoZn4 (GGA-PBE, optimized geometry); calculated volume = 248.2 Å³ per cell; E_tot = -4.48 eV per atom; formation enthalpy at 0 K = -27.04 kJ per mole of atoms
1.0
-1.831 -2.615 -1.612
1.946 -2.439 1.748
-12.896 0.100 14.493
Y Zn Ho
5 4 1
Direct
0.500 0.500 0.132 Y
0.500 0.500 0.500 Y
0.500 0.500 0.316 Y
0.500 0.500 0.684 Y
0.500 0.500 0.868 Y
0.000 0.000 0.777 Zn
0.000 0.000 0.593 Zn
0.000 0.000 0.407 Zn
0.000 0.000 0.223 Zn
0.000 0.000 0.000 Ho

Entry 20:
Y2Ho6Zn (GGA-PBE, optimized geometry); calculated volume = 532.2 Å³ per cell; E_tot = -4.59 eV per atom; formation enthalpy at 0 K = 3.61 kJ per mole of atoms
1.0
5.328 0.000 0.247
0.000 9.904 0.000
-0.462 0.000 10.064
Ho Y Zn
12 4 2
Direct
0.500 0.184 0.946 Ho
0.500 0.873 0.385 Ho
0.000 0.627 0.885 Ho
0.500 0.532 0.315 Ho
0.000 0.032 0.185 Ho
0.500 0.816 0.054 Ho
0.500 0.468 0.685 Ho
0.000 0.373 0.115 Ho
0.500 0.127 0.615 Ho
0.000 0.684 0.554 Ho
0.000 0.316 0.446 Ho
0.000 0.968 0.815 Ho
0.500 0.794 0.727 Y
0.000 0.294 0.773 Y
0.000 0.706 0.227 Y
0.500 0.206 0.273 Y
0.500 0.500 0.000 Zn
0.000 0.000 0.500 Zn

Entry 21:
Y2HoZn4 (GGA-PBE, optimized geometry); calculated volume = 164.4 Å³ per cell; E_tot = -3.40 eV per atom; formation enthalpy at 0 K = -16.48 kJ per mole of atoms
1.0
-4.170 -1.557 -2.607
2.540 -4.215 -1.546
-1.178 -0.148 7.077
Y Zn Ho
2 4 1
Direct
0.277 0.277 0.554 Y
0.723 0.723 0.446 Y
0.109 0.609 0.219 Zn
0.609 0.109 0.219 Zn
0.891 0.391 0.781 Zn
0.391 0.891 0.781 Zn
0.000 0.000 0.000 Ho

Entry 22:
Y3Ho2Zn2 (GGA-PBE, optimized geometry); calculated volume = 190.4 Å³ per cell; E_tot = -4.56 eV per atom; formation enthalpy at 0 K = -11.70 kJ per mole of atoms
1.0
-0.355 3.376 -0.983
-3.333 -0.022 1.129
4.488 6.216 13.374
Zn Ho Y
2 2 3
Direct
0.558 0.500 0.884 Zn
0.442 0.500 0.116 Zn
0.299 0.500 0.403 Ho
0.701 0.500 0.597 Ho
0.000 0.000 0.000 Y
0.882 0.000 0.237 Y
0.118 0.000 0.763 Y